Below is an optimized crystal structure of SnBF2, with properties calculated at the PBE level.

a = 10.8236 Å, b = 10.8236 Å, c = 10.8236 Å
α = 16.21°, β = 16.21°, γ = 16.21°
Last column: nearest neighbours and their distance in Å.
Fractional coordinates of all 4 atoms:
Sn: 0.0000 0.0000 0.0000  6 Sn 3.05
B: 0.5000 0.5000 0.5000  2 F 1.33
F: 0.4586 0.4586 0.4586  1 B 1.33
F: 0.5414 0.5414 0.5414  1 B 1.33

Computed properties:
- Raw formation energy: -0.853 eV/atom
- Energy above the most stable polymorph in this dataset: 0 meV/atom
- VASP energy: -4.46 eV/atom

***

Below is an optimized crystal structure of KNa2AgH, with properties calculated at the PBE level.

a = 4.8340 Å, b = 4.8340 Å, c = 5.4320 Å
α = 90.00°, β = 90.00°, γ = 90.00°
Last column: nearest neighbours and their distance in Å.
Fractional coordinates of all 5 atoms:
K: 0.0000 0.0000 0.0000  2 H 2.72
Na: 0.0000 0.5000 0.5000  2 H 2.42
Na: 0.5000 0.0000 0.5000  2 H 2.42
Ag: 0.5000 0.5000 0.0000  4 K 3.42, 8 Na 3.64
H: 0.0000 0.0000 0.5000  4 Na 2.42

Computed properties:
- VASP energy: -1.97 eV/atom

***

Below is an optimized crystal structure of CsTlI2Br, with properties calculated at the PBE level.

a = 6.2438 Å, b = 6.2438 Å, c = 5.9486 Å
α = 90.00°, β = 90.00°, γ = 90.00°
Last column: nearest neighbours and their distance in Å.
Fractional coordinates of all 5 atoms:
Cs: 0.0000 0.0000 0.0000  8 I 4.31, 4 Br 4.42
Tl: 0.5000 0.5000 0.5000  2 Br 2.97, 4 I 3.12
I: 0.0000 0.5000 0.5000  2 Tl 3.12
I: 0.5000 0.0000 0.5000  2 Tl 3.12
Br: 0.5000 0.5000 0.0000  2 Tl 2.97

Computed properties:
- Raw formation energy: -0.928 eV/atom
- VASP energy: -2.53 eV/atom

***

Below is an optimized crystal structure of VNi2Sn2, with properties calculated at the PBE level.

a = 7.1267 Å, b = 7.1267 Å, c = 3.1248 Å
α = 90.00°, β = 90.00°, γ = 90.00°
Last column: nearest neighbours and their distance in Å.
Fractional coordinates of all 10 atoms:
V: 0.0000 0.0000 0.0000  4 Ni 2.83, 8 Sn 3.06, 2 V 3.12
V: 0.5000 0.5000 0.0000  4 Ni 2.83, 8 Sn 3.06, 2 V 3.12
Ni: 0.1228 0.3772 0.0000  1 Ni 2.48, 6 Sn 2.56-2.66
Ni: 0.3772 0.8772 0.0000  1 Ni 2.48, 6 Sn 2.56-2.66
Ni: 0.6228 0.1228 0.0000  1 Ni 2.48, 6 Sn 2.56-2.66
Ni: 0.8772 0.6228 0.0000  1 Ni 2.48, 6 Sn 2.56-2.66
Sn: 0.1755 0.6755 0.5000  6 Ni 2.56-2.66
Sn: 0.3245 0.1755 0.5000  6 Ni 2.56-2.66
Sn: 0.6755 0.8245 0.5000  6 Ni 2.56-2.66
Sn: 0.8245 0.3245 0.5000  6 Ni 2.56-2.66

Computed properties:
- Energy above the most stable polymorph in this dataset: 0 meV/atom
- VASP energy: -5.67 eV/atom